## K2CuTc (PBE)

Data for an optimized crystal structure of K2CuTc.

Computed properties:
Fermi-level density of states ... 0.7970 states/eV/atom
Energy of formation from the pure elements ... 0.853 eV per atom

Unit cell a=3.1300 b=4.0961 c=20.0278 alpha=90.00 beta=90.00 gamma=90.00
Last column: nearest neighbours and their distance in Å.
Space group Immm (No. 71)
Unique sites:
K 0.0000 0.0000 0.1428 x4  2 K 3.13, 2 Cu 3.26
Cu 0.0000 0.5000 0.5000 x2  4 Tc 2.58
Tc 0.0000 0.5000 0.0000 x2  4 Cu 2.58

***

## BiIr (PBE)

Data for an optimized crystal structure of BiIr.

Computed properties:
Fermi-level density of states ... 0.8732 states/eV/atom
Energy of formation from the pure elements ... 0.543 eV per atom

Unit cell a=4.0769 b=12.8398 c=6.0975 alpha=90.00 beta=90.00 gamma=90.00
Last column: nearest neighbours and their distance in Å.
Space group Pmmn (No. 59, origin choice 2)
Unique sites:
Bi 0.2500 0.0854 0.1467 x4  3 Ir 2.64-2.78
Bi 0.2500 0.7500 0.3948 x2  4 Ir 2.67-2.71
Ir 0.2500 0.2500 0.8869 x2  4 Bi 2.64-2.67
Ir 0.2500 0.5528 0.5512 x4  2 Ir 2.53, 3 Bi 2.71-2.78

***

## SrPW3 (PBE)

Data for an optimized crystal structure of SrPW3.

Computed properties:
Fermi-level density of states ... 1.4911 states/eV/atom
Energy of formation from the pure elements ... 3.918 eV per atom

Unit cell a=4.8200 b=4.8200 c=4.8200 alpha=90.00 beta=90.00 gamma=90.00
Last column: nearest neighbours and their distance in Å.
Space group Pm-3m (No. 221)
Unique sites:
Sr 0.0000 0.0000 0.0000 x1  6 W 2.41
P 0.5000 0.5000 0.5000 x1  12 W 3.41
W 0.0000 0.0000 0.5000 x3  2 Sr 2.41

***

## CaPrCo (PBE)

Data for an optimized crystal structure of CaPrCo.

Computed properties:
Fermi-level density of states ... 0.5131 states/eV/atom
Energy of formation from the pure elements ... 0.096 eV per atom

Unit cell a=3.4904 b=3.4904 c=13.2133 alpha=90.00 beta=90.00 gamma=90.00
Last column: nearest neighbours and their distance in Å.
Space group I4mm (No. 107)
Unique sites:
Ca 0.0000 0.0000 0.0000 x2  4 Co 3.06, 1 Pr 3.32
Pr 0.0000 0.0000 0.2516 x2  4 Co 2.90
Co 0.0000 0.0000 0.6370 x2  4 Pr 2.90, 4 Ca 3.06

***

## La2TlP (PBE)

Data for an optimized crystal structure of La2TlP.

Computed properties:
Fermi-level density of states ... 1.6373 states/eV/atom
Energy of formation from the pure elements ... -0.558 eV per atom

Unit cell a=7.6329 b=7.6329 c=7.6329 alpha=90.00 beta=90.00 gamma=90.00
Last column: nearest neighbours and their distance in Å.
Space group Fm-3m (No. 225)
Unique sites:
La 0.2500 0.2500 0.2500 x8  4 Tl 3.31, 4 P 3.31
Tl 0.0000 0.0000 0.0000 x4  8 La 3.31
P 0.0000 0.0000 0.5000 x4  8 La 3.31

***

## BeCdCu2Tc (PBE)

Data for an optimized crystal structure of BeCdCu2Tc.

Computed properties:
Fermi-level density of states ... 0.3616 states/eV/atom
Energy of formation from the pure elements ... 0.388 eV per atom

Unit cell a=4.1037 b=4.1037 c=4.2344 alpha=90.00 beta=90.00 gamma=90.00
Last column: nearest neighbours and their distance in Å.
Space group P4/mmm (No. 123)
Unique sites:
Be 0.0000 0.0000 0.0000 x1  4 Cu 2.05, 2 Tc 2.12
Cd 0.5000 0.5000 0.5000 x1  4 Tc 2.90, 8 Cu 2.95
Cu 0.0000 0.5000 0.0000 x2  2 Be 2.05
Tc 0.0000 0.0000 0.5000 x1  2 Be 2.12

***

Calculated VASP energy in order - -0.122, -0.214, -0.194, -0.167, -0.183, -0.156 Ha/atom